Computed, not measured: a relaxed structure of NaNd3Sm4Te8 at the GGA-PBE level of DFT.

Lattice parameters (Å, degrees): 8.9473 8.9473 21.9244 90.00 90.00 120.00
Space group R-3m (No. 166, hexagonal axes)
Symmetry-distinct sites (fractional):
Na  0.0000  0.0000  0.0000
Nd  0.0000  0.5000  0.0000
Sm  0.0000  0.0000  0.5000
Sm  0.0000  0.5000  0.5000
Te  0.0000  0.0000  0.2486
Te  0.0036  0.5018  0.7505

Results
For the total magnetization, the calculation gives 0.00 μB per cell. The formation energy without anion corrections is -1.387 eV/atom. The volume is 1519.9 Å³/cell.